(1)
Material: CaDy2PtO5
Method: DFT, GGA-PBE
State: relaxed

abc: 6.477 6.477 5.849
angles: 90.00 90.00 90.00
Space group P4/mbm (No. 127)
Unique sites:
Ca (0.000, 0.000, 0.000) x2
Dy (0.174, 0.326, 0.500) x4
Pt (0.000, 0.500, 0.000) x2
O (0.000, 0.000, 0.500) x2
O (0.145, 0.645, 0.256) x8

Values from the calculation:
VASP energy (eV/atom): -7.2830
V (Å³/f.u.): 122.7



(2)
Material: CaTc2Te
Method: DFT, GGA-PBE
State: relaxed

abc: 3.2545 3.2545 26.2671
angles: 90.00 90.00 120.00
Space group R-3m (No. 166, hexagonal axes)
Unique sites:
Ca (0.0000, 0.0000, 0.0000) x3
Tc (0.0000, 0.0000, 0.2390) x6
Te (0.0000, 0.0000, 0.5000) x3

Values from the calculation:
VASP energy (eV/atom): -5.8414
V (Å³/f.u.): 80.3



(3)
Material: AlAg3Ru
Method: DFT, GGA-PBE
State: relaxed

abc: 5.077 5.077 5.077
angles: 90.00 90.00 90.00
Space group Pm-3m (No. 221)
Unique sites:
Al (0.000, 0.000, 0.000) x1
Ag (0.000, 0.500, 0.500) x3
Ru (0.500, 0.500, 0.500) x1

Values from the calculation:
VASP energy (eV/atom): -2.9965
Energy above the lowest structure with this stoichiometry (kJ per mole of atoms): 22.7
V (Å³/f.u.): 130.9



(4)
Material: MgBe3Pb
Method: DFT, GGA-PBE
State: relaxed

abc: 4.752 4.752 4.752
angles: 90.00 90.00 90.00
Space group Pm-3m (No. 221)
Unique sites:
Mg (0.000, 0.000, 0.000) x1
Be (0.000, 0.500, 0.500) x3
Pb (0.500, 0.500, 0.500) x1

Values from the calculation:
VASP energy (eV/atom): -1.9855
Energy above the lowest structure with this stoichiometry (kJ per mole of atoms): 1.7
V (Å³/f.u.): 107.3



(5)
Material: NbTcSN2
Method: DFT, GGA-PBE
State: relaxed

abc: 3.991 3.991 5.142
angles: 90.00 90.00 90.00
Space group P4/mmm (No. 123)
Unique sites:
Nb (0.000, 0.000, 0.000) x1
Tc (0.500, 0.500, 0.500) x1
S (0.000, 0.000, 0.500) x1
N (0.000, 0.500, 0.000) x2

Values from the calculation:
VASP energy (eV/atom): -7.5299
Energy above the lowest structure with this stoichiometry (kJ per mole of atoms): 8.7
V (Å³/f.u.): 81.9



(6)
Material: Cd3HgPb2
Method: DFT, GGA-PBE
State: relaxed

abc: 10.175 6.005 6.081
angles: 90.00 122.12 90.00
Space group C2/m (No. 12)
Unique sites:
Cd (0.000, 0.000, 0.000) x2
Cd (0.250, 0.250, 0.000) x4
Hg (0.000, 0.000, 0.500) x2
Pb (0.124, 0.500, 0.368) x4

Values from the calculation:
VASP energy (eV/atom): -1.7177
Energy above the lowest structure with this stoichiometry (kJ per mole of atoms): 0.0
V (Å³/f.u.): 157.3



(7)
Material: BeNiTe
Method: DFT, GGA-PBE
State: relaxed

abc: 6.568 3.802 9.091
angles: 90.00 110.43 90.00
Space group Cm (No. 8)
Unique sites:
Be (0.000, 0.000, 0.000) x2
Be (0.245, 0.500, 0.162) x2
Ni (0.117, 0.500, 0.898) x2
Ni (0.356, 0.000, 0.047) x2
Te (0.211, 0.000, 0.748) x2
Te (0.494, 0.000, 0.333) x2

Values from the calculation:
VASP energy (eV/atom): -4.4826
V (Å³/f.u.): 53.2



(8)
Material: BaCN3
Method: DFT, GGA-PBE
State: relaxed

abc: 5.143 5.143 5.143
angles: 90.00 90.00 90.00
Space group Pm-3m (No. 221)
Unique sites:
Ba (0.000, 0.000, 0.000) x1
C (0.500, 0.500, 0.500) x1
N (0.000, 0.000, 0.500) x3

Values from the calculation:
VASP energy (eV/atom): -3.7345
V (Å³/f.u.): 136.1



(9)
Material: Li4CuRu
Method: DFT, GGA-PBE
State: relaxed

abc: 6.723 6.723 6.723
angles: 90.00 90.00 90.00
Space group F-43m (No. 216)
Unique sites:
Li (0.124, 0.124, 0.376) x16
Cu (0.000, 0.000, 0.000) x4
Ru (0.250, 0.250, 0.750) x4

Values from the calculation:
VASP energy (eV/atom): -3.1837
V (Å³/f.u.): 76.0



(10)
Material: Cs3H4Ir
Method: DFT, GGA-PBE
State: relaxed

abc: 5.748 6.410 9.585
angles: 90.00 90.00 90.00
Space group Immm (No. 71)
Unique sites:
Cs (0.000, 0.000, 0.000) x2
Cs (0.000, 0.500, 0.225) x4
H (0.000, 0.000, 0.322) x4
H (0.000, 0.265, 0.500) x4
Ir (0.000, 0.000, 0.500) x2

Values from the calculation:
VASP energy (eV/atom): -3.2911
V (Å³/f.u.): 176.6



(11)
Material: InBi2Pb
Method: DFT, GGA-PBE
State: relaxed

abc: 4.957 4.957 5.055
angles: 90.00 90.00 90.00
Space group P4/mmm (No. 123)
Unique sites:
In (0.000, 0.000, 0.000) x1
Bi (0.000, 0.500, 0.500) x2
Pb (0.500, 0.500, 0.000) x1

Values from the calculation:
VASP energy (eV/atom): -3.5218
V (Å³/f.u.): 124.2



(12)
Material: Hf12Sn5C2
Method: DFT, GGA-PBE
State: relaxed

abc: 15.776 6.928 8.501
angles: 90.00 108.99 90.00
Space group C2/m (No. 12)
Unique sites:
Hf (0.005, 0.000, 0.173) x4
Hf (0.010, 0.500, 0.193) x4
Hf (0.133, 0.278, 0.539) x8
Hf (0.148, 0.229, 0.082) x8
Sn (0.000, 0.000, 0.500) x2
Sn (0.183, 0.500, 0.845) x4
Sn (0.220, 0.500, 0.352) x4
C (0.000, 0.262, 0.000) x4

Values from the calculation:
VASP energy (eV/atom): -8.4414
V (Å³/f.u.): 439.3



Copy entry 1 word for word.
Material: CaDy2PtO5
Method: DFT, GGA-PBE
State: relaxed

abc: 6.477 6.477 5.849
angles: 90.00 90.00 90.00
Space group P4/mbm (No. 127)
Unique sites:
Ca (0.000, 0.000, 0.000) x2
Dy (0.174, 0.326, 0.500) x4
Pt (0.000, 0.500, 0.000) x2
O (0.000, 0.000, 0.500) x2
O (0.145, 0.645, 0.256) x8

Values from the calculation:
VASP energy (eV/atom): -7.2830
V (Å³/f.u.): 122.7



The highest V belongs to which entry? Hf12Sn5C2



Among the records above, which one has the lowest V? BeNiTe